Compound: PmDy2Hg7
Source: Alexandria
Functional: PBE
Structure: relaxed

a = 5.0619 Å, b = 5.0619 Å, c = 11.8307 Å
α = 90.00°, β = 90.00°, γ = 120.00°
Closest atoms and distances in Å follow each position.
Fractional positions:
Pm (0.0000, 0.0000, 0.0000)  10 Hg 3.11-3.48
Dy (0.3333, 0.6667, 0.6674)  5 Hg 2.86-3.14
Dy (0.6667, 0.3333, 0.4522)  6 Hg 2.97-3.24
Hg (0.0000, 0.0000, 0.2936)  7 Hg 3.21-3.32, 3 Dy 3.47, 1 Pm 3.47
Hg (0.0000, 0.0000, 0.5710)  6 Dy 3.14-3.24, 4 Hg 3.28-3.51
Hg (0.3333, 0.6667, 0.1601)  5 Hg 2.91-2.97
Hg (0.3333, 0.6667, 0.4061)  4 Hg 2.91-3.21, 4 Dy 2.97-3.09
Hg (0.3333, 0.6667, 0.9094)  1 Dy 2.86, 4 Hg 2.97-3.20, 3 Pm 3.11
Hg (0.6667, 0.3333, 0.1151)  3 Hg 2.97, 3 Pm 3.22
Hg (0.6667, 0.3333, 0.7999)  3 Hg 3.20, 3 Dy 3.32

Calculated values
The calculation puts the spin magnetization at 0.0 μB per formula unit. As for the energy of formation: -266 kJ/mol of formula units. As for the raw total energy: -1.882 eV per atom. The value obtained for the density of states at the Fermi level is 0.63 states/eV per atom. The volume is 26.25 Å³ per atom.

=====

Compound: PmDyHg3
Source: Alexandria
Functional: PBE
Structure: relaxed

a = 14.7117 Å, b = 14.7117 Å, c = 4.9580 Å
α = 90.00°, β = 90.00°, γ = 165.97°
Closest atoms and distances in Å follow each position.
Fractional positions:
Pm (0.0760, 0.9240, 0.7500)  12 Hg 3.35-3.59, 2 Pm 3.59
Pm (0.9240, 0.0760, 0.2500)  12 Hg 3.35-3.59, 2 Pm 3.59
Dy (0.2107, 0.7893, 0.2500)  7 Hg 3.13-3.17
Dy (0.7893, 0.2107, 0.7500)  7 Hg 3.13-3.17
Hg (0.3177, 0.6823, 0.2500)  2 Hg 3.03, 5 Dy 3.13-3.17
Hg (0.3773, 0.6227, 0.7500)  3 Hg 2.88-3.03, 2 Dy 3.14
Hg (0.4758, 0.5242, 0.7500)  3 Hg 2.85-2.88
Hg (0.5242, 0.4758, 0.2500)  3 Hg 2.85-2.88
Hg (0.6227, 0.3773, 0.2500)  3 Hg 2.88-3.03, 2 Dy 3.14
Hg (0.6823, 0.3177, 0.7500)  2 Hg 3.03, 5 Dy 3.13-3.17

Calculated values
For the offset from the most stable computed form, the calculation gives 0 meV per atom. The calculation puts the spin magnetization at 0.2 μB per formula unit. As for the energy of formation: -203 kJ/mol of formula units. As for the raw total energy: -2.471 eV per atom. The value obtained for the density of states at the Fermi level is 1.06 states/eV per atom. The volume is 26.02 Å³ per atom.

=====

Compound: PmDy2Hg8
Source: Alexandria
Functional: PBE
Structure: relaxed

a = 8.5663 Å, b = 8.5663 Å, c = 8.5663 Å
α = 145.35°, β = 127.98°, γ = 64.02°
Closest atoms and distances in Å follow each position.
Fractional positions:
Pm (0.0000, 0.0000, 0.0000)  12 Hg 3.07-3.42
Dy (0.3066, 0.3066, 0.0000)  10 Hg 3.07-3.35
Dy (0.6934, 0.6934, 0.0000)  10 Hg 3.07-3.35
Hg (0.1408, 0.8509, 0.2899)  3 Dy 3.07-3.16, 1 Pm 3.07, 6 Hg 3.16-3.36
Hg (0.1567, 0.6567, 0.5000)  8 Hg 3.17-3.36, 2 Dy 3.35, 2 Pm 3.42
Hg (0.2944, 0.5000, 0.7944)  7 Hg 3.09-3.35, 2 Dy 3.21, 2 Pm 3.38
Hg (0.4391, 0.1491, 0.2899)  3 Dy 3.07-3.16, 1 Pm 3.07, 6 Hg 3.16-3.36
Hg (0.5609, 0.8509, 0.7101)  3 Dy 3.07-3.16, 1 Pm 3.07, 6 Hg 3.16-3.36
Hg (0.7056, 0.5000, 0.2056)  7 Hg 3.09-3.35, 2 Dy 3.21, 2 Pm 3.38
Hg (0.8433, 0.3433, 0.5000)  8 Hg 3.17-3.36, 2 Dy 3.35, 2 Pm 3.42
Hg (0.8592, 0.1491, 0.7101)  3 Dy 3.07-3.16, 1 Pm 3.07, 6 Hg 3.16-3.36

Calculated values
For the offset from the most stable computed form, the calculation gives 12 meV per atom. The calculation puts the spin magnetization at 0.0 μB per formula unit. As for the energy of formation: -333 kJ/mol of formula units. As for the raw total energy: -1.802 eV per atom. The value obtained for the density of states at the Fermi level is 0.54 states/eV per atom. The volume is 25.31 Å³ per atom.

=====

Compound: Pm3DyHg2
Source: Alexandria
Functional: PBE
Structure: relaxed

a = 5.2514 Å, b = 9.5057 Å, c = 7.0838 Å
α = 90.00°, β = 90.00°, γ = 90.00°
Closest atoms and distances in Å follow each position.
Fractional positions:
Pm (0.0000, 0.0534, 0.0000)  3 Hg 3.22-3.28, 1 Pm 3.54
Pm (0.0000, 0.3294, 0.3362)  4 Hg 3.07-3.19
Pm (0.0000, 0.6706, 0.8362)  4 Hg 3.07-3.19
Pm (0.0000, 0.9466, 0.5000)  3 Hg 3.22-3.28, 1 Pm 3.54
Pm (0.5000, 0.1761, 0.6882)  4 Hg 3.15-3.18, 1 Dy 3.52
Pm (0.5000, 0.8239, 0.1882)  4 Hg 3.15-3.18, 1 Dy 3.52
Dy (0.5000, 0.4466, 0.0269)  3 Hg 3.20-3.27, 1 Pm 3.52
Dy (0.5000, 0.5534, 0.5269)  3 Hg 3.20-3.27, 1 Pm 3.52
Hg (0.0000, 0.3506, 0.7827)  5 Pm 3.07-3.22, 2 Dy 3.27
Hg (0.0000, 0.6494, 0.2827)  5 Pm 3.07-3.22, 2 Dy 3.27
Hg (0.5000, 0.1521, 0.2446)  6 Pm 3.15-3.28, 1 Dy 3.20
Hg (0.5000, 0.8479, 0.7446)  6 Pm 3.15-3.28, 1 Dy 3.20

Calculated values
For the offset from the most stable computed form, the calculation gives 0 meV per atom. The calculation puts the spin magnetization at 0.0 μB per formula unit. As for the energy of formation: -195 kJ/mol of formula units. As for the raw total energy: -3.580 eV per atom. The value obtained for the density of states at the Fermi level is 0.52 states/eV per atom. The volume is 29.47 Å³ per atom.

=====

Compound: Pm3Dy2Hg3
Source: Alexandria
Functional: PBE
Structure: relaxed

a = 11.6659 Å, b = 11.6659 Å, c = 11.6659 Å
α = 161.41°, β = 153.03°, γ = 32.96°
Closest atoms and distances in Å follow each position.
Fractional positions:
Pm (0.0000, 0.0000, 0.0000)  8 Hg 3.31
Pm (0.3778, 0.8778, 0.5000)  6 Hg 3.31-3.32, 2 Dy 3.68
Pm (0.6222, 0.1222, 0.5000)  6 Hg 3.31-3.32, 2 Dy 3.68
Dy (0.2333, 0.2333, 0.0000)  2 Hg 3.13, 4 Dy 3.39
Dy (0.7667, 0.7667, 0.0000)  2 Hg 3.13, 4 Dy 3.39
Hg (0.1218, 0.6218, 0.5000)  2 Dy 3.13, 6 Pm 3.31
Hg (0.5000, 0.5000, 0.0000)  8 Pm 3.31-3.32
Hg (0.8782, 0.3782, 0.5000)  2 Dy 3.13, 6 Pm 3.31

Calculated values
The calculation puts the spin magnetization at 0.6 μB per formula unit. As for the energy of formation: -275 kJ/mol of formula units. As for the raw total energy: -3.402 eV per atom. The value obtained for the density of states at the Fermi level is 1.28 states/eV per atom. The volume is 28.67 Å³ per atom.

=====

Compound: Pm2DyHg4
Source: Alexandria
Functional: PBE
Structure: relaxed

a = 8.7556 Å, b = 8.7556 Å, c = 8.7556 Å
α = 142.48°, β = 142.48°, γ = 54.11°
Closest atoms and distances in Å follow each position.
Fractional positions:
Pm (0.1055, 0.1055, 0.0000)  5 Hg 3.13-3.26, 1 Pm 3.29
Pm (0.8945, 0.8945, 0.0000)  5 Hg 3.13-3.26, 1 Pm 3.29
Dy (0.5000, 0.5000, 0.0000)  6 Hg 2.82-3.02
Hg (0.0000, 0.5000, 0.5000)  2 Dy 2.82
Hg (0.3061, 0.3061, 0.0000)  1 Dy 3.02, 1 Pm 3.13
Hg (0.5000, 0.0000, 0.5000)  2 Dy 2.82
Hg (0.6939, 0.6939, 0.0000)  1 Dy 3.02, 1 Pm 3.13

Calculated values
For the offset from the most stable computed form, the calculation gives 322 meV per atom. The calculation puts the spin magnetization at 0.0 μB per formula unit. As for the energy of formation: -17 kJ/mol of formula units. As for the raw total energy: -2.212 eV per atom. The value obtained for the density of states at the Fermi level is 0.99 states/eV per atom. The volume is 35.33 Å³ per atom.

=====

Among the records above, which one has the lowest raw total energy? Pm3DyHg2

=====

Look up the energy of formation of the second one. -203 kJ/mol of formula units

=====

What is the spin magnetization in the sixth record? 0.0 μB per formula unit